Compound: CaSbAsF2
Source: Alexandria via LeMat-Bulk
Functional: GGA-PBE
Structure: optimized geometry

Cell lengths 4.316, 6.341, 4.316 Å; angles 90.00, 90.00, 90.00 degrees
Atoms (fractional coordinates):
F: 0.000 0.000 0.500
F: 0.500 0.000 0.000
As: 0.000 0.000 0.000
Ca: 0.000 0.500 0.000
Sb: 0.500 0.500 0.500

Output
E_form (uncorrected)   -4.9 eV per formula unit